DFT (GGA-PBE) results for a geometry-optimized Zr2W structure.

Results
* formation energy from the elements: 0.178 eV/atom
* distance to the lowest polymorph of the same formula: 90 meV/atom

Lattice parameters (Å, degrees): 7.734 7.508 2.997 82.92 74.46 22.62
Positions (direct):
Zr  0.154  0.154  0.846
Zr  0.846  0.846  0.154
W  0.500  0.500  0.500